(1)
This record from Alexandria describes a relaxed structure of Be2Ga2Ge. The functional is PBE-GGA.

## Properties
energy of formation from the pure elements: 338 meV per atom

abc: 6.684 6.684 3.249
angles: 90.00 90.00 90.00
Fractional coordinates of all 10 atoms:
Be 0.384 0.884 0.000
Be 0.884 0.616 0.000
Be 0.616 0.116 0.000
Be 0.116 0.384 0.000
Ge 0.000 0.000 0.000
Ge 0.500 0.500 0.000
Ga 0.178 0.678 0.500
Ga 0.678 0.822 0.500
Ga 0.822 0.322 0.500
Ga 0.322 0.178 0.500

(2)
This record from Alexandria describes a relaxed structure of Al2CuSi2. The functional is PBE-GGA.

## Properties
energy above the most stable polymorph in this dataset: 96 meV/atom

abc: 3.778 3.778 6.749
angles: 90.00 90.00 120.00
Fractional coordinates of all 5 atoms:
Al 0.333 0.667 0.172
Al 0.667 0.333 0.828
Cu 0.000 0.000 0.000
Si 0.333 0.667 0.587
Si 0.667 0.333 0.413

(3)
This record from Alexandria describes a relaxed structure of CePrYSe3. The functional is PBE-GGA.

## Properties
calculated total energy: -6.31 eV/atom

abc: 4.056 7.329 10.894
angles: 102.72 90.00 90.00
Each line ends with the local moment (μB).
Fractional coordinates of all 12 atoms:
Ce 0.250 0.121 0.630  1.02
Ce 0.750 0.879 0.370  1.02
Pr 0.750 0.655 0.701  0.01
Pr 0.250 0.345 0.299  0.01
Y 0.250 0.764 0.057  0.06
Y 0.750 0.236 0.943  0.06
Se 0.250 0.712 0.506  -0.01
Se 0.750 0.054 0.152  0.00
Se 0.750 0.546 0.158  0.00
Se 0.750 0.288 0.494  -0.01
Se 0.250 0.454 0.842  0.00
Se 0.250 0.946 0.848  0.00

| no. | M_tot (μB/f.u.) |
| --- | --- |
| 1 | 0.00 |
| 2 | 0.00 |
| 3 | 1.56 |